Crystalline Sr4H2Au at its relaxed geometry. Source: Alexandria via LeMat-Bulk, functional PBE.

a b c (Å): 5.896 5.896 19.125
angles (deg): 90.00 90.00 90.00
Atoms (fractional coordinates):
Sr: 0.000 0.000 0.169
Sr: 0.000 0.000 0.831
Sr: 0.000 0.500 0.000
Sr: 0.000 0.500 0.500
Sr: 0.500 0.000 0.000
Sr: 0.500 0.000 0.500
Sr: 0.500 0.500 0.331
Sr: 0.500 0.500 0.669
H: 0.000 0.000 0.290
H: 0.000 0.000 0.710
H: 0.500 0.500 0.210
H: 0.500 0.500 0.790
Au: 0.000 0.000 0.000
Au: 0.500 0.500 0.500

Results
* final energy: -2.332 eV/atom
* symmetry: I4/mmm, No. 139
* V: 664.9 Å³ per cell


Crystalline SrHAu at its relaxed geometry. Source: Alexandria via LeMat-Bulk, functional PBE.

a b c (Å): 5.622 5.622 7.841
angles (deg): 90.00 90.20 90.00
Atoms (fractional coordinates):
Sr: 0.249 0.000 0.318
Sr: 0.251 0.500 0.682
Sr: 0.749 0.500 0.318
Sr: 0.751 0.000 0.682
H: 0.000 0.250 0.500
H: 0.000 0.750 0.500
H: 0.500 0.250 0.500
H: 0.500 0.750 0.500
Au: 0.248 0.500 0.091
Au: 0.252 0.000 0.909
Au: 0.748 0.000 0.091
Au: 0.752 0.500 0.909

Results
* final energy: -3.350 eV/atom
* symmetry: C2/m, No. 12
* V: 247.8 Å³ per cell
* E above lowest polymorph: 0.0 meV per atom


Crystalline Sr3H12Au5 at its relaxed geometry. Source: Alexandria via LeMat-Bulk, functional PBE.

a b c (Å): 11.034 11.034 11.034
angles (deg): 109.47 109.47 109.47
Atoms (fractional coordinates):
Sr: 0.125 0.250 0.375
Sr: 0.125 0.375 0.750
Sr: 0.250 0.375 0.125
Sr: 0.250 0.875 0.625
Sr: 0.375 0.125 0.250
Sr: 0.375 0.750 0.125
Sr: 0.625 0.250 0.875
Sr: 0.625 0.875 0.750
Sr: 0.750 0.125 0.375
Sr: 0.750 0.625 0.875
Sr: 0.875 0.625 0.250
Sr: 0.875 0.750 0.625
H: 0.007 0.186 0.110
H: 0.007 0.321 0.896
H: 0.075 0.686 0.679
H: 0.075 0.890 0.396
H: 0.104 0.610 0.425
H: 0.104 0.993 0.679
H: 0.110 0.007 0.186
H: 0.110 0.604 0.925
H: 0.179 0.186 0.575
H: 0.179 0.493 0.604
H: 0.186 0.110 0.007
H: 0.186 0.575 0.179
H: 0.314 0.321 0.925
H: 0.314 0.493 0.390
H: 0.321 0.896 0.007
H: 0.321 0.925 0.314
H: 0.390 0.314 0.493
H: 0.390 0.575 0.896
H: 0.396 0.075 0.890
H: 0.396 0.821 0.507
H: 0.425 0.104 0.610
H: 0.425 0.821 0.814
H: 0.493 0.390 0.314
H: 0.493 0.604 0.179
H: 0.507 0.396 0.821
H: 0.507 0.610 0.686
H: 0.575 0.179 0.186
H: 0.575 0.896 0.390
H: 0.604 0.179 0.493
H: 0.604 0.925 0.110
H: 0.610 0.425 0.104
H: 0.610 0.686 0.507
H: 0.679 0.075 0.686
H: 0.679 0.104 0.993
H: 0.686 0.507 0.610
H: 0.686 0.679 0.075
H: 0.814 0.425 0.821
H: 0.814 0.890 0.993
H: 0.821 0.507 0.396
H: 0.821 0.814 0.425
H: 0.890 0.396 0.075
H: 0.890 0.993 0.814
H: 0.896 0.007 0.321
H: 0.896 0.390 0.575
H: 0.925 0.110 0.604
H: 0.925 0.314 0.321
H: 0.993 0.679 0.104
H: 0.993 0.814 0.890
Au: 0.000 0.000 0.000
Au: 0.000 0.000 0.500
Au: 0.000 0.500 0.000
Au: 0.000 0.500 0.500
Au: 0.125 0.750 0.875
Au: 0.125 0.875 0.250
Au: 0.250 0.125 0.875
Au: 0.250 0.625 0.375
Au: 0.375 0.250 0.625
Au: 0.375 0.625 0.750
Au: 0.500 0.000 0.000
Au: 0.500 0.000 0.500
Au: 0.500 0.500 0.000
Au: 0.500 0.500 0.500
Au: 0.625 0.375 0.250
Au: 0.625 0.750 0.375
Au: 0.750 0.375 0.625
Au: 0.750 0.875 0.125
Au: 0.875 0.125 0.750
Au: 0.875 0.250 0.125

Results
* final energy: -3.191 eV/atom
* symmetry: Ia-3d, No. 230
* V: 1034.0 Å³ per cell


Crystalline Sr2H5Au2 at its relaxed geometry. Source: Alexandria via LeMat-Bulk, functional PBE.

a b c (Å): 6.683 6.683 5.074
angles (deg): 96.40 96.40 36.23
Atoms (fractional coordinates):
Sr: 0.141 0.141 0.231
Sr: 0.859 0.859 0.769
H: 0.316 0.316 0.030
H: 0.318 0.318 0.526
H: 0.500 0.500 0.000
H: 0.682 0.682 0.474
H: 0.684 0.684 0.970
Au: 0.419 0.419 0.294
Au: 0.581 0.581 0.706

Results
* final energy: -3.318 eV/atom
* symmetry: C2/m, No. 12
* V: 133.0 Å³ per cell


Crystalline SrHAu at its relaxed geometry. Source: Alexandria via LeMat-Bulk, functional PBE.

a b c (Å): 3.768 6.594 4.901
angles (deg): 90.00 90.00 90.00
Atoms (fractional coordinates):
Sr: 0.000 0.227 0.000
Sr: 0.000 0.773 0.500
H: 0.500 0.105 0.503
H: 0.500 0.895 0.003
Au: 0.500 0.380 0.500
Au: 0.500 0.620 0.000

Results
* final energy: -3.240 eV/atom
* symmetry: Pmc2_1, No. 26
* V: 121.8 Å³ per cell
* E above lowest polymorph: 110.3 meV per atom


Crystalline SrHAu3 at its relaxed geometry. Source: Alexandria via LeMat-Bulk, functional PBE.

a b c (Å): 4.544 4.544 4.544
angles (deg): 90.00 90.00 90.00
Atoms (fractional coordinates):
Sr: 0.000 0.000 0.000
H: 0.500 0.500 0.500
Au: 0.000 0.500 0.500
Au: 0.500 0.000 0.500
Au: 0.500 0.500 0.000

Results
* final energy: -3.075 eV/atom
* symmetry: Pm-3m, No. 221
* V: 93.8 Å³ per cell


no.,total magnetization (μB per formula unit)
1,0.00
2,0.00
3,0.00
4,0.00
5,0.00
6,0.00